# SrCuOs2

SrCuOs2 after structural relaxation (GGA-PBE, Alexandria).

a b c (Å): 3.001 3.001 7.842
angles (deg): 90.00 90.00 90.00
Space group P4/mmm (No. 123)
Symmetry-distinct sites (fractional):
Sr  0.000  0.000  0.000 [1 per cell]
Cu  0.000  0.000  0.500 [1 per cell]
Os  0.500  0.500  0.321 [2 per cell]

Properties
**Energy above the lowest structure with this stoichiometry**: 17.41 kcal/mol of atoms
**DFT formation energy**: 0.91 eV per atom